No. 1
The following is a DFT calculation (SCAN) of a PBEsol-optimized structure of Mg2Si2Pd.

abc: 4.2713 6.2439 6.2439
angles: 90.00 90.00 90.00
Fractional coordinates of all 10 atoms:
Si  0.0000  0.6345  0.1345
Mg  0.5000  0.8251  0.3251
Mg  0.5000  0.1749  0.6749
Pd  0.0000  0.0000  0.0000
Si  0.0000  0.3655  0.8655
Mg  0.5000  0.6749  0.8251
Si  0.0000  0.1345  0.3655
Mg  0.5000  0.3251  0.1749
Pd  0.0000  0.5000  0.5000
Si  0.0000  0.8655  0.6345

space group	No. 127
raw total energy	-12.932	eV per atom
spin magnetization	0.00	μB per atom

---

No. 2
The following is a DFT calculation (SCAN) of a PBEsol-optimized structure of Sm2MgPd2.

abc: 3.8469 7.6417 7.6417
angles: 90.00 90.00 90.00
Fractional coordinates of all 10 atoms:
Pd  0.0000  0.3695  0.1305
Sm  0.5000  0.1698  0.3302
Pd  0.0000  0.1305  0.6305
Sm  0.5000  0.8302  0.6698
Pd  0.0000  0.8695  0.3695
Sm  0.5000  0.3302  0.8302
Pd  0.0000  0.6305  0.8695
Sm  0.5000  0.6698  0.1698
Mg  0.0000  0.0000  0.0000
Mg  0.0000  0.5000  0.5000

space group	No. 127
formation energy	-820	meV/atom
spin magnetization	0.01	μB per atom

---

No. 3
The following is a DFT calculation (SCAN) of a PBEsol-optimized structure of SmMgPd.

abc: 4.0321 7.4822 7.4822
angles: 120.00 90.00 90.00
Fractional coordinates of all 9 atoms:
Pd  0.5000  0.0000  0.0000
Sm  0.5000  0.4132  0.0000
Mg  0.0000  0.2424  0.2424
Sm  0.5000  0.0000  0.4132
Sm  0.5000  0.5868  0.5868
Pd  0.0000  0.3333  0.6667
Pd  0.0000  0.6667  0.3333
Mg  0.0000  0.7576  0.0000
Mg  0.0000  0.0000  0.7576

space group	No. 189
formation energy	-758	meV/atom
spin magnetization	0.00	μB per atom

---

No. 4
The following is a DFT calculation (SCAN) of a PBEsol-optimized structure of MgSnPd2.

abc: 4.5315 4.5315 4.5315
angles: 60.00 60.00 60.00
Fractional coordinates of all 4 atoms:
Pd  0.7500  0.7500  0.7500
Mg  0.0000  0.0000  0.0000
Sn  0.5000  0.5000  0.5000
Pd  0.2500  0.2500  0.2500

space group	No. 225
formation energy	-686	meV/atom
spin magnetization	0.00	μB per atom

---

No. 5
The following is a DFT calculation (SCAN) of a PBEsol-optimized structure of SrMg2Pd2.

abc: 4.2910 4.2910 6.6252
angles: 108.90 108.90 90.00
Fractional coordinates of all 5 atoms:
Mg  0.7500  0.2500  0.5000
Pd  0.6127  0.6127  0.2253
Pd  0.3873  0.3873  0.7747
Mg  0.2500  0.7500  0.5000
Sr  0.0000  0.0000  0.0000

space group	No. 139
formation energy	-659	meV/atom
spin magnetization	0.00	μB per atom

---

No. 6
The following is a DFT calculation (SCAN) of a PBEsol-optimized structure of Tb2MgPd2.

abc: 3.7556 7.5875 7.5875
angles: 90.00 90.00 90.00
Fractional coordinates of all 10 atoms:
Tb  0.5000  0.3318  0.8318
Tb  0.5000  0.1682  0.3318
Mg  0.0000  0.0000  0.0000
Tb  0.5000  0.8318  0.6682
Pd  0.0000  0.1317  0.6317
Tb  0.5000  0.6682  0.1682
Pd  0.0000  0.6317  0.8683
Pd  0.0000  0.3683  0.1317
Pd  0.0000  0.8683  0.3683
Mg  0.0000  0.5000  0.5000

space group	No. 127
formation energy	-858	meV/atom
spin magnetization	0.00	μB per atom

---

No. 7
The following is a DFT calculation (SCAN) of a PBEsol-optimized structure of Mg2TcPd.

abc: 4.4562 4.4562 4.4562
angles: 60.00 60.00 60.00
Site moments in Bohr magnetons follow the coordinates.
Fractional coordinates of all 4 atoms:
Pd  0.5000  0.5000  0.5000  0.00
Mg  0.2500  0.2500  0.2500  -0.01
Mg  0.7500  0.7500  0.7500  -0.01
Tc  0.0000  0.0000  0.0000  2.15

space group	No. 225
formation energy	-18	meV/atom
spin magnetization	0.58	μB per atom

---

No. 8
The following is a DFT calculation (SCAN) of a PBEsol-optimized structure of TmMgPd.

abc: 4.0152 7.2622 7.2622
angles: 120.00 90.00 90.00
Fractional coordinates of all 9 atoms:
Pd  0.5000  0.0000  0.0000
Tm  0.5000  0.5889  0.5889
Mg  0.0000  0.2468  0.2468
Mg  0.0000  0.0000  0.7532
Tm  0.5000  0.0000  0.4111
Tm  0.5000  0.4111  0.0000
Pd  0.0000  0.6667  0.3333
Mg  0.0000  0.7532  0.0000
Pd  0.0000  0.3333  0.6667

space group	No. 189
formation energy	-791	meV/atom
spin magnetization	0.00	μB per atom

---

- Among the records above, which one has the highest spin magnetization?
  Mg2TcPd